Record 1
First-principles (PBE) data for crystalline Tb6Nd12Dy at its relaxed geometry, as listed in Alexandria. Values from VASP.

```
&SYSTEM
  ibrav = 0, nat = 19, ntyp = 3
/
ATOMIC_SPECIES
Nd 144.24 Nd.upf
Tb 158.93 Tb.upf
Dy 162.50 Dy.upf
ATOMIC_POSITIONS crystal
Nd 0.536 0.433 0.781
Nd 0.194 0.362 0.018
Nd 0.464 0.567 0.219
Nd 0.219 0.464 0.567
Tb 0.702 0.260 0.098
Nd 0.567 0.219 0.464
Nd 0.982 0.806 0.638
Nd 0.018 0.194 0.362
Tb 0.298 0.740 0.902
Tb 0.098 0.702 0.260
Tb 0.260 0.098 0.702
Nd 0.638 0.982 0.806
Tb 0.740 0.902 0.298
Dy 0.000 0.000 0.000
Nd 0.781 0.536 0.433
Nd 0.806 0.638 0.982
Nd 0.433 0.781 0.536
Tb 0.902 0.298 0.740
Nd 0.362 0.018 0.194
CELL_PARAMETERS angstrom
-6.964 5.218 -0.035
-3.737 -4.686 6.309
3.576 5.073 6.100
```

Output
**SG**: No. 148
**Formation enthalpy at 0 K**: 2.507 eV/f.u.
**E_tot**: -4.584 eV/atom
**Relative energy among the computed polymorphs**: 0 meV per atom

=====

Record 2
First-principles (PBE) data for crystalline TbNd2Dy8 at its relaxed geometry, as listed in Alexandria. Values from VASP.

```
&SYSTEM
  ibrav = 0, nat = 11, ntyp = 3
/
ATOMIC_SPECIES
Dy 162.50 Dy.upf
Tb 158.93 Tb.upf
Nd 144.24 Nd.upf
ATOMIC_POSITIONS crystal
Dy 0.727 0.181 0.638
Dy 0.818 0.454 0.090
Tb 0.000 0.000 0.000
Dy 0.453 0.362 0.270
Dy 0.182 0.546 0.910
Dy 0.635 0.908 0.180
Dy 0.547 0.638 0.730
Nd 0.908 0.727 0.546
Dy 0.365 0.092 0.820
Nd 0.092 0.273 0.454
Dy 0.273 0.819 0.362
CELL_PARAMETERS angstrom
5.292 -0.683 -3.117
-0.831 6.081 -0.713
0.450 2.327 10.435
```

Output
**SG**: No. 2
**Formation enthalpy at 0 K**: 0.199 eV/f.u.
**E_tot**: -4.617 eV/atom
**Relative energy among the computed polymorphs**: 0 meV per atom

=====

Record 3
First-principles (PBE) data for crystalline Tb3Nd9Dy2 at its relaxed geometry, as listed in Alexandria. Values from VASP.

```
&SYSTEM
  ibrav = 0, nat = 28, ntyp = 3
/
ATOMIC_SPECIES
Tb 158.93 Tb.upf
Nd 144.24 Nd.upf
Dy 162.50 Dy.upf
ATOMIC_POSITIONS crystal
Tb 0.749 0.829 0.250
Nd 0.407 0.132 0.041
Nd 0.725 0.593 0.459
Nd 0.275 0.407 0.541
Tb 0.829 0.080 0.750
Nd 0.593 0.868 0.959
Tb 0.080 0.251 0.250
Nd 0.519 0.599 0.750
Nd 0.725 0.593 0.041
Nd 0.132 0.725 0.541
Nd 0.132 0.725 0.959
Nd 0.593 0.868 0.541
Tb 0.171 0.920 0.250
Dy 0.667 0.333 0.643
Tb 0.920 0.749 0.750
Nd 0.275 0.407 0.959
Nd 0.080 0.481 0.750
Nd 0.868 0.275 0.459
Dy 0.333 0.667 0.357
Dy 0.667 0.333 0.857
Nd 0.920 0.519 0.250
Tb 0.251 0.171 0.750
Dy 0.333 0.667 0.143
Nd 0.868 0.275 0.041
Nd 0.407 0.132 0.459
Nd 0.401 0.920 0.750
Nd 0.599 0.080 0.250
Nd 0.481 0.401 0.250
CELL_PARAMETERS angstrom
-0.886 8.954 1.450
-6.694 -4.638 -4.092
-5.789 -2.581 12.397
```

Output
**SG**: No. 176
**Formation enthalpy at 0 K**: 3.276 eV/f.u.
**E_tot**: -4.481 eV/atom

=====

Record 4
First-principles (PBE) data for crystalline Tb8Nd6Dy at its relaxed geometry, as listed in Alexandria. Values from VASP.

```
&SYSTEM
  ibrav = 0, nat = 15, ntyp = 3
/
ATOMIC_SPECIES
Tb 158.93 Tb.upf
Nd 144.24 Nd.upf
Dy 162.50 Dy.upf
ATOMIC_POSITIONS crystal
Tb 0.749 0.718 0.421
Nd 0.230 0.538 0.129
Tb 0.251 0.282 0.579
Tb 0.577 0.577 0.269
Dy 0.000 0.000 0.000
Tb 0.718 0.112 0.421
Tb 0.888 0.251 0.579
Nd 0.898 0.770 0.871
Nd 0.462 0.898 0.871
Tb 0.112 0.749 0.421
Tb 0.282 0.888 0.579
Nd 0.102 0.230 0.129
Nd 0.770 0.462 0.871
Nd 0.538 0.102 0.129
Tb 0.423 0.423 0.731
CELL_PARAMETERS angstrom
9.161 0.000 0.000
4.581 7.934 0.000
4.581 2.645 6.967
```

Output
**SG**: No. 148
**Formation enthalpy at 0 K**: 1.760 eV/f.u.
**E_tot**: -4.566 eV/atom
**Relative energy among the computed polymorphs**: 0 meV per atom